[1]
A geometry-optimized Y5Ho3Tm2 structure. Source: Alexandria, functional PBE.

a b c (Å): 9.559 9.559 9.378
angles (deg): 108.49 108.49 112.16
Fractional positions:
Y 0.019 0.981 0.750
Y 0.110 0.389 0.750
Y 0.220 0.780 0.750
Y 0.389 0.110 0.250
Y 0.480 0.520 0.250
Y 0.520 0.480 0.750
Y 0.611 0.890 0.750
Y 0.780 0.220 0.250
Y 0.890 0.611 0.250
Y 0.981 0.019 0.250
Ho 0.222 0.483 0.454
Ho 0.281 0.719 0.250
Ho 0.483 0.222 0.954
Ho 0.517 0.778 0.046
Ho 0.719 0.281 0.750
Ho 0.778 0.517 0.546
Tm 0.017 0.281 0.046
Tm 0.281 0.017 0.546
Tm 0.719 0.983 0.454
Tm 0.983 0.719 0.954

Values from the calculation:
crystal system	monoclinic
ΔH_f (0 K)	0.193	eV/atom
E	-106.1	eV per cell

=====

[2]
A geometry-optimized SrCa3Ir structure. Source: Alexandria, functional PBE.

a b c (Å): 5.436 5.436 5.436
angles (deg): 90.00 90.00 90.00
Fractional positions:
Sr 0.000 0.000 0.000
Ca 0.000 0.000 0.500
Ca 0.000 0.500 0.000
Ca 0.500 0.000 0.000
Ir 0.500 0.500 0.500

Values from the calculation:
crystal system	cubic
ΔH_f (0 K)	1.746	eV/atom
ΔE to the lowest computed polymorph	1.986	eV/atom
E	-7.8	eV per cell

=====

[3]
A geometry-optimized TaCd2Mo structure. Source: Alexandria, functional PBE.

a b c (Å): 5.085 5.085 5.477
angles (deg): 94.48 94.48 31.83
Fractional positions:
Ta 0.000 0.000 0.000
Cd 0.251 0.251 0.721
Cd 0.500 0.500 0.485
Mo 0.752 0.752 0.207

Values from the calculation:
crystal system	monoclinic
ΔH_f (0 K)	0.392	eV/atom
ΔE to the lowest computed polymorph	0.213	eV/atom
E	-22.9	eV per cell

=====

[4]
A geometry-optimized La3Ge7Os2 structure. Source: Alexandria, functional PBE.

a b c (Å): 4.447 4.450 13.272
angles (deg): 90.00 99.62 90.00
Fractional positions:
La 0.000 0.000 0.000
La 0.317 0.500 0.634
La 0.683 0.500 0.366
Ge 0.086 0.500 0.174
Ge 0.220 0.000 0.442
Ge 0.414 0.000 0.827
Ge 0.500 0.500 0.000
Ge 0.586 0.000 0.173
Ge 0.780 0.000 0.558
Ge 0.914 0.500 0.826
Os 0.127 0.000 0.255
Os 0.873 0.000 0.745

Values from the calculation:
crystal system	monoclinic
ΔH_f (0 K)	-0.562	eV/atom
ΔE to the lowest computed polymorph	0.000	eV/atom
E	-76.3	eV per cell

=====

[5]
A geometry-optimized Pb2W structure. Source: Alexandria, functional PBE.

a b c (Å): 5.546 5.546 5.546
angles (deg): 147.99 129.47 61.07
Fractional positions:
Pb 0.160 0.160 0.000
Pb 0.840 0.840 0.000
W 0.500 0.500 0.000

Values from the calculation:
crystal system	orthorhombic
ΔH_f (0 K)	1.064	eV/atom
ΔE to the lowest computed polymorph	0.482	eV/atom
E	-17.2	eV per cell

=====

[6]
A geometry-optimized Li4MoRh structure. Source: Alexandria, functional PBE.

a b c (Å): 4.765 4.765 4.765
angles (deg): 60.00 60.00 60.00
Fractional positions:
Li 0.376 0.376 0.376
Li 0.376 0.376 0.871
Li 0.376 0.871 0.376
Li 0.871 0.376 0.376
Mo 0.000 0.000 0.000
Rh 0.750 0.750 0.750

Values from the calculation:
crystal system	cubic
ΔH_f (0 K)	0.334	eV/atom
E	-23.8	eV per cell

=====

[7]
A geometry-optimized GaAgSe3 structure. Source: Alexandria, functional PBE.

a b c (Å): 5.003 5.003 5.003
angles (deg): 90.00 90.00 90.00
Fractional positions:
Ga 0.000 0.000 0.000
Ag 0.500 0.500 0.500
Se 0.000 0.000 0.500
Se 0.000 0.500 0.000
Se 0.500 0.000 0.000

Values from the calculation:
crystal system	cubic
ΔE to the lowest computed polymorph	0.614	eV/atom
E	-14.4	eV per cell

=====

[8]
A geometry-optimized Pr2HoPu structure. Source: Alexandria, functional PBE.

a b c (Å): 3.585 3.585 10.218
angles (deg): 90.00 90.00 90.00
Fractional positions:
Pr 0.000 0.000 0.247
Pr 0.000 0.000 0.753
Ho 0.500 0.500 0.500
Pu 0.500 0.500 0.000

Values from the calculation:
crystal system	tetragonal
ΔH_f (0 K)	0.120	eV/atom
ΔE to the lowest computed polymorph	0.000	eV/atom
E	-28.0	eV per cell

=====

Question: Number 2 is which compound?
Answer: SrCa3Ir

=====

Repeat the first record exactly.
A geometry-optimized Y5Ho3Tm2 structure. Source: Alexandria, functional PBE.

a b c (Å): 9.559 9.559 9.378
angles (deg): 108.49 108.49 112.16
Fractional positions:
Y 0.019 0.981 0.750
Y 0.110 0.389 0.750
Y 0.220 0.780 0.750
Y 0.389 0.110 0.250
Y 0.480 0.520 0.250
Y 0.520 0.480 0.750
Y 0.611 0.890 0.750
Y 0.780 0.220 0.250
Y 0.890 0.611 0.250
Y 0.981 0.019 0.250
Ho 0.222 0.483 0.454
Ho 0.281 0.719 0.250
Ho 0.483 0.222 0.954
Ho 0.517 0.778 0.046
Ho 0.719 0.281 0.750
Ho 0.778 0.517 0.546
Tm 0.017 0.281 0.046
Tm 0.281 0.017 0.546
Tm 0.719 0.983 0.454
Tm 0.983 0.719 0.954

Values from the calculation:
crystal system	monoclinic
ΔH_f (0 K)	0.193	eV/atom
E	-106.1	eV per cell